Material: P3Pt2
Method: DFT, PBE
State: relaxed

a b c (Å): 8.982 5.679 7.594
angles (deg): 83.85 38.95 57.20
Fractional coordinates of all 10 atoms:
P: 0.876 0.425 0.194
P: 0.505 0.194 0.425
P: 0.825 0.374 0.745
P: 0.056 0.745 0.374
P: 0.025 0.975 0.975
P: 0.275 0.225 0.225
Pt: 0.131 0.805 0.601
Pt: 0.463 0.601 0.805
Pt: 0.445 0.119 0.787
Pt: 0.649 0.787 0.119

SG: Fdd2, No. 43
electronic total energy: -60.74 eV per cell